# 1
The following is a PBE calculation of an optimized crystal structure of Cr2MoSe, from the Alexandria database.

abc: 3.079 4.228 4.387
angles: 90.00 90.00 90.00
Element x y z (fractional)
Cr  0.000  0.000  0.000
Cr  0.500  0.500  0.000
Mo  0.000  0.500  0.500
Se  0.500  0.000  0.500

Computed properties:
Energy relative to the elements, uncorrected (kJ/mol of formula units): 113
Theoretical density (Mg/m³): 8.11
E (eV per atom): -8.0987
Symmetry: Pmmm, No. 47
Size of the total moment (μB/cell): 0.32

# 2
The following is a PBE calculation of an optimized crystal structure of TbTh2Bi2Te2, from the Alexandria database.

abc: 8.865 8.865 8.865
angles: 141.33 141.33 55.84
Element x y z (fractional)
Tb  0.000  0.000  0.000
Th  0.387  0.387  0.000
Th  0.613  0.613  0.000
Bi  0.000  0.500  0.500
Bi  0.500  0.000  0.500
Te  0.194  0.194  0.000
Te  0.806  0.806  0.000

Computed properties:
Energy relative to the elements, uncorrected (kJ/mol of formula units): -301
Theoretical density (Mg/m³): 7.98
E (eV per atom): -5.2342
Symmetry: I4/mmm, No. 139
Size of the total moment (μB/cell): 0.96

# 3
The following is a PBE calculation of an optimized crystal structure of CaInAg2, from the Alexandria database.

abc: 3.885 4.588 5.697
angles: 90.00 109.77 90.00
Element x y z (fractional)
Ca  0.000  0.000  0.000
In  0.706  0.500  0.404
Ag  0.271  0.000  0.545
Ag  0.426  0.500  0.849

Computed properties:
Theoretical density (Mg/m³): 6.44
E (eV per atom): -2.8145
Symmetry: Pm, No. 6
ΔE_f (eV/atom): -0.204
Size of the total moment (μB/cell): 0.00

# 4
The following is a PBE calculation of an optimized crystal structure of CaTlP2O8, from the Alexandria database.

abc: 5.884 5.884 5.884
angles: 105.42 105.42 117.92
Element x y z (fractional)
Ca  0.000  0.000  0.000
Tl  0.750  0.250  0.500
P  0.250  0.750  0.500
P  0.500  0.500  0.000
O  0.089  0.418  0.329
O  0.089  0.760  0.671
O  0.171  0.343  0.828
O  0.240  0.911  0.329
O  0.515  0.343  0.172
O  0.582  0.911  0.671
O  0.657  0.485  0.828
O  0.657  0.829  0.172

Computed properties:
Energy relative to the elements, uncorrected (kJ/mol of formula units): -2253
Theoretical density (Mg/m³): 4.68
E (eV per atom): -6.5173
Symmetry: I-4m2, No. 119
Size of the total moment (μB/cell): 1.10

# 5
The following is a PBE calculation of an optimized crystal structure of AlCrFe, from the Alexandria database.

abc: 3.880 3.880 3.880
angles: 60.00 60.00 60.00
Element x y z (fractional)
Al  0.000  0.000  0.000
Cr  0.500  0.500  0.500
Fe  0.750  0.750  0.750

Computed properties:
Theoretical density (Mg/m³): 5.42
E (eV per atom): -7.0766
Symmetry: F-43m, No. 216
ΔE_f (eV/atom): 0.200
Size of the total moment (μB/cell): 0.39

# 6
The following is a PBE calculation of an optimized crystal structure of Cd5Ag4Pb, from the Alexandria database.

abc: 3.416 3.416 18.074
angles: 90.00 90.00 90.00
Element x y z (fractional)
Cd  0.000  0.000  0.000
Cd  0.000  0.000  0.184
Cd  0.000  0.000  0.368
Cd  0.000  0.000  0.632
Cd  0.000  0.000  0.816
Ag  0.500  0.500  0.092
Ag  0.500  0.500  0.276
Ag  0.500  0.500  0.724
Ag  0.500  0.500  0.908
Pb  0.500  0.500  0.500

Computed properties:
Theoretical density (Mg/m³): 9.46
E (eV per atom): -1.9842
Symmetry: P4/mmm, No. 123
ΔE_f (eV/atom): -0.015
Size of the total moment (μB/cell): 0.00

# 7
The following is a PBE calculation of an optimized crystal structure of SrNb2W, from the Alexandria database.

abc: 4.855 4.855 4.855
angles: 60.00 60.00 60.00
Element x y z (fractional)
Sr  0.000  0.000  0.000
Nb  0.250  0.250  0.250
Nb  0.750  0.750  0.750
W  0.500  0.500  0.500

Computed properties:
ΔE to the lowest computed polymorph (eV/f.u.): 0.00
Theoretical density (Mg/m³): 9.39
E (eV per atom): -7.7814
Symmetry: Fm-3m, No. 225
ΔE_f (eV/atom): 0.912
Size of the total moment (μB/cell): 0.00

# 8
The following is a PBE calculation of an optimized crystal structure of PmZnS2O8, from the Alexandria database.

abc: 5.224 5.224 7.704
angles: 90.00 90.00 120.00
Element x y z (fractional)
Pm  0.000  0.000  0.000
Zn  0.000  0.000  0.500
S  0.333  0.667  0.184
S  0.667  0.333  0.816
O  0.177  0.354  0.244
O  0.177  0.823  0.244
O  0.333  0.667  0.989
O  0.354  0.177  0.756
O  0.646  0.823  0.244
O  0.667  0.333  0.011
O  0.823  0.177  0.756
O  0.823  0.646  0.756

Computed properties:
Energy relative to the elements, uncorrected (kJ/mol of formula units): -1926
Theoretical density (Mg/m³): 3.67
E (eV per atom): -6.1589
Symmetry: P-3m1, No. 164
Size of the total moment (μB/cell): 0.99

# 9
The following is a PBE calculation of an optimized crystal structure of ScBe2Mo, from the Alexandria database.

abc: 3.040 3.294 5.477
angles: 90.00 90.00 90.00
Element x y z (fractional)
Sc  0.000  0.000  0.000
Be  0.500  0.500  0.304
Be  0.500  0.500  0.696
Mo  0.000  0.000  0.500

Computed properties:
ΔE to the lowest computed polymorph (eV/f.u.): 0.00
Theoretical density (Mg/m³): 4.81
E (eV per atom): -6.1908
Symmetry: Pmmm, No. 47
ΔE_f (eV/atom): -0.037
Size of the total moment (μB/cell): 0.00

# 10
The following is a PBE calculation of an optimized crystal structure of LiNiS4, from the Alexandria database.

abc: 4.896 3.548 6.168
angles: 90.00 108.70 90.00
Element x y z (fractional)
Li  0.000  0.000  0.000
Ni  0.500  0.500  0.500
S  0.160  0.000  0.426
S  0.367  0.500  0.095
S  0.633  0.500  0.905
S  0.840  0.000  0.574

Computed properties:
Energy relative to the elements, uncorrected (kJ/mol of formula units): -214
Theoretical density (Mg/m³): 3.17
E (eV per atom): -4.4033
Symmetry: P2/m, No. 10
Size of the total moment (μB/cell): 0.00

# 11
The following is a PBE calculation of an optimized crystal structure of Pr8Dy3, from the Alexandria database.

abc: 6.361 6.361 13.251
angles: 103.79 103.79 47.99
Element x y z (fractional)
Pr  0.046  0.046  0.318
Pr  0.136  0.136  0.954
Pr  0.228  0.228  0.591
Pr  0.319  0.319  0.227
Pr  0.681  0.681  0.773
Pr  0.772  0.772  0.409
Pr  0.864  0.864  0.046
Pr  0.954  0.954  0.682
Dy  0.409  0.409  0.865
Dy  0.500  0.500  0.500
Dy  0.591  0.591  0.135

Computed properties:
ΔE to the lowest computed polymorph (eV/f.u.): 0.00
Theoretical density (Mg/m³): 6.97
E (eV per atom): -4.7153
Symmetry: C2/m, No. 12
ΔE_f (eV/atom): 0.016
Size of the total moment (μB/cell): 0.00

# 12
The following is a PBE calculation of an optimized crystal structure of PrSm3Ho2, from the Alexandria database.

abc: 10.430 10.430 10.430
angles: 160.73 146.76 38.70
Element x y z (fractional)
Pr  0.000  0.000  0.000
Sm  0.192  0.192  0.000
Sm  0.500  0.000  0.500
Sm  0.808  0.808  0.000
Ho  0.362  0.362  0.000
Ho  0.638  0.638  0.000

Computed properties:
ΔE to the lowest computed polymorph (eV/f.u.): 1.94
Theoretical density (Mg/m³): 7.47
E (eV per atom): -4.3451
Symmetry: Immm, No. 71
ΔE_f (eV/atom): 0.337
Size of the total moment (μB/cell): 0.00

Among the records above, which one has the lowest E?
Cr2MoSe